1.
Compound: LiAlS2
Source: Alexandria via LeMat-Bulk
Functional: PBE-GGA
Structure: optimized geometry

a b c (Å): 7.0066 7.0066 5.9997
angles (deg): 90.00 90.00 90.00
Space group I4/mcm (No. 140)
One atom of each set of equivalent atoms:
Li: 0.0000 0.0000 0.2500 [4 per cell]
Al: 0.0000 0.5000 0.2500 [4 per cell]
S: 0.1731 0.3269 0.0000 [8 per cell]

2.
Compound: LiAlS2
Source: Alexandria via LeMat-Bulk
Functional: PBE-GGA
Structure: optimized geometry

a b c (Å): 3.5770 3.5770 4.8010
angles (deg): 90.00 90.00 90.00
Space group P4/mmm (No. 123)
One atom of each set of equivalent atoms:
Li: 0.0000 0.0000 0.0000 [1 per cell]
Al: 0.5000 0.5000 0.5000 [1 per cell]
S: 0.0000 0.0000 0.5000 [1 per cell]
S: 0.5000 0.5000 0.0000 [1 per cell]

3.
Compound: LiAlS2
Source: Alexandria via LeMat-Bulk
Functional: PBE-GGA
Structure: optimized geometry

a b c (Å): 3.9205 19.8002 4.5142
angles (deg): 90.00 90.00 90.00
Space group Cmcm (No. 63)
One atom of each set of equivalent atoms:
Li: 0.0000 0.1955 0.2500 [4 per cell]
Al: 0.0000 0.4284 0.2500 [4 per cell]
S: 0.0000 0.3191 0.2500 [4 per cell]
S: 0.0000 0.4532 0.7500 [4 per cell]

4.
Compound: Li3AlS
Source: Alexandria via LeMat-Bulk
Functional: PBE-GGA
Structure: optimized geometry

Computed properties:
ΔE to the lowest computed polymorph in meV/atom: 0

a b c (Å): 4.6003 4.6003 4.6003
angles (deg): 90.00 90.00 90.00
Space group Pm-3m (No. 221)
One atom of each set of equivalent atoms:
Li: 0.0000 0.0000 0.5000 [3 per cell]
Al: 0.5000 0.5000 0.5000 [1 per cell]
S: 0.0000 0.0000 0.0000 [1 per cell]

5.
Compound: Li3AlS
Source: Alexandria via LeMat-Bulk
Functional: PBE-GGA
Structure: optimized geometry

Computed properties:
ΔE to the lowest computed polymorph in meV/atom: 812

a b c (Å): 4.8799 4.8799 4.8799
angles (deg): 90.00 90.00 90.00
Space group Pm-3m (No. 221)
One atom of each set of equivalent atoms:
Li: 0.0000 0.0000 0.5000 [3 per cell]
Al: 0.0000 0.0000 0.0000 [1 per cell]
S: 0.5000 0.5000 0.5000 [1 per cell]

6.
Compound: LiAlS2
Source: Alexandria via LeMat-Bulk
Functional: PBE-GGA
Structure: optimized geometry

a b c (Å): 6.7743 3.7184 6.7926
angles (deg): 90.00 92.76 90.00
Space group P2/m (No. 10)
One atom of each set of equivalent atoms:
Li: 0.1717 0.0000 0.3258 [2 per cell]
Al: 0.3396 0.5000 0.8380 [2 per cell]
S: 0.1981 0.0000 0.6951 [2 per cell]
S: 0.3256 0.5000 0.1716 [2 per cell]

7.
Compound: LiAlS2
Source: Alexandria via LeMat-Bulk
Functional: PBE-GGA
Structure: optimized geometry

a b c (Å): 3.7817 3.7817 6.8694
angles (deg): 90.00 90.00 120.00
Space group P3m1 (No. 156)
One atom of each set of equivalent atoms:
Li: 0.0000 0.0000 0.0000 [1 per cell]
Al: 0.3333 0.6667 0.5905 [1 per cell]
S: 0.3333 0.6667 0.9030 [1 per cell]
S: 0.6667 0.3333 0.4481 [1 per cell]

8.
Compound: LiAl2S
Source: Alexandria via LeMat-Bulk
Functional: PBE-GGA
Structure: optimized geometry

a b c (Å): 7.5073 7.5073 5.1619
angles (deg): 90.00 90.00 90.00
Space group I-42d (No. 122)
One atom of each set of equivalent atoms:
Li: 0.0000 0.0000 0.0000 [4 per cell]
Al: 0.2038 0.2500 0.6250 [8 per cell]
S: 0.0000 0.0000 0.5000 [4 per cell]

9.
Compound: Li2AlSbS4
Source: Alexandria via LeMat-Bulk
Functional: PBE-GGA
Structure: optimized geometry

a b c (Å): 8.9804 6.6087 6.0131
angles (deg): 90.00 90.00 90.00
Space group Pmn2_1 (No. 31)
One atom of each set of equivalent atoms:
Li: 0.2480 0.1774 0.0000 [4 per cell]
Al: 0.0000 0.3410 0.5086 [2 per cell]
Sb: 0.0000 0.7113 0.9864 [2 per cell]
S: 0.0000 0.3441 0.8932 [2 per cell]
S: 0.0000 0.6747 0.4065 [2 per cell]
S: 0.2100 0.1847 0.4056 [4 per cell]

10.
Compound: Li3Sc2AlS6
Source: Alexandria via LeMat-Bulk
Functional: PBE-GGA
Structure: optimized geometry

a b c (Å): 6.3052 10.9228 6.4283
angles (deg): 90.00 109.07 90.00
Space group C2/m (No. 12)
One atom of each set of equivalent atoms:
Li: 0.0000 0.0000 0.0000 [2 per cell]
Li: 0.0000 0.3354 0.0000 [4 per cell]
Sc: 0.0000 0.1669 0.5000 [4 per cell]
Al: 0.0000 0.5000 0.5000 [2 per cell]
S: 0.2375 0.3409 0.7355 [8 per cell]
S: 0.2400 0.5000 0.2673 [4 per cell]

11.
Compound: Li4Sc3AlS8
Source: Alexandria via LeMat-Bulk
Functional: PBE-GGA
Structure: optimized geometry

a b c (Å): 7.3053 7.3053 18.2422
angles (deg): 90.00 90.00 120.00
Space group R-3m (No. 166, hexagonal axes)
One atom of each set of equivalent atoms:
Li: 0.0000 0.0000 0.0000 [3 per cell]
Li: 0.0000 0.5000 0.0000 [9 per cell]
Sc: 0.0000 0.5000 0.5000 [9 per cell]
Al: 0.0000 0.0000 0.5000 [3 per cell]
S: 0.0000 0.0000 0.2471 [6 per cell]
S: 0.0134 0.5067 0.2450 [18 per cell]

12.
Compound: Li3Sc3AlS8
Source: Alexandria via LeMat-Bulk
Functional: PBE-GGA
Structure: optimized geometry

a b c (Å): 7.2837 7.2837 18.3227
angles (deg): 90.00 90.00 120.00
Space group R-3m (No. 166, hexagonal axes)
One atom of each set of equivalent atoms:
Li: 0.0000 0.5000 0.0000 [9 per cell]
Sc: 0.0000 0.5000 0.5000 [9 per cell]
Al: 0.0000 0.0000 0.5000 [3 per cell]
S: 0.0000 0.0000 0.2476 [6 per cell]
S: 0.0156 0.5078 0.2438 [18 per cell]

Number 1: uncorrected formation energy -1.11 eV/atom. Number 2: uncorrected formation energy -0.98 eV/atom. Number 3: uncorrected formation energy -0.79 eV/atom. Number 4: uncorrected formation energy -0.42 eV/atom. Number 5: uncorrected formation energy 0.39 eV/atom. Number 6: uncorrected formation energy -1.26 eV/atom. Number 7: uncorrected formation energy -1.11 eV/atom. Number 8: uncorrected formation energy -0.28 eV/atom. Number 9: uncorrected formation energy -0.92 eV/atom. Number 10: uncorrected formation energy -1.57 eV/atom. Number 11: uncorrected formation energy -1.61 eV/atom. Number 12: uncorrected formation energy -1.52 eV/atom.